A plane-wave DFT calculation with PBE was carried out for a relaxed structure of PrCuAu.

a = 4.8657 Å, b = 4.8657 Å, c = 4.8657 Å
α = 60.00°, β = 60.00°, γ = 60.00°
With the nearest neighbours (Å) after each atom.
Element x y z (fractional)
Pr1 0.0000 0.0000 0.0000  4 Cu 2.98, 4 Au 2.98
Cu1 0.7500 0.7500 0.7500  4 Pr 2.98
Au1 0.2500 0.2500 0.2500  4 Pr 2.98

Summary:
The calculation puts the calculated formation energy at -11 kJ/mol of formula units. The calculation puts the energy relative to the lowest polymorph listed for this composition at 0.4975 eV per atom. Its spin magnetization is 0.00 μB per atom. For the total DFT energy (no corrections), the calculation gives -3.956 eV per atom.